[1]
Below is a relaxed structure of PrDy3Ho5, with properties calculated at the PBE-GGA level.

The space group is C2/m (No. 12) and the conventional cell measures 16.823, 7.963 and 12.209 Å, with angles of 90.00, 130.68 and 90.00 degrees. Symmetry generates all atoms from Pr at (0.237, 0.000, 0.132), Dy at (0.000, 0.000, 0.000), Dy at (0.000, 0.500, 0.500), Dy at (0.120, 0.500, 0.315), Dy at (0.172, 0.000, 0.341), Ho at (0.000, 0.321, 0.000), Ho at (0.064, 0.206, 0.780), Ho at (0.123, 0.000, 0.567) and Ho at (0.201, 0.500, 0.071).

Its total magnetization is 0.0 Bohr magnetons per cell. The final energy is -4.19 eV/atom. The density comes out at 7.78 Mg/m³. The formation energy comes out at 9.621 kcal/mol of atoms.

[2]
Below is a relaxed structure of PrDy2Ho, with properties calculated at the PBE-GGA level.

The space group is Pmmn (No. 59, origin choice 2) and the conventional cell measures 3.544, 5.471 and 13.510 Å, with angles of 90.00, 90.00 and 90.00 degrees. Symmetry generates all atoms from Pr at (0.250, 0.250, 0.202), Dy at (0.250, 0.250, 0.936), Dy at (0.250, 0.750, 0.542) and Ho at (0.250, 0.250, 0.685).

Its total magnetization is 0.0 Bohr magnetons per cell. The final energy is -4.60 eV/atom. The density comes out at 8.00 Mg/m³. The formation energy comes out at 1.033 kcal/mol of atoms.

Q: Which formula does entry 1 have?
A: PrDy3Ho5